A plane-wave DFT calculation with GGA-PBE was carried out for an optimized crystal structure of Ba2ZrBr.

Output
The raw total energy comes out at -3.82 eV per atom. As for the formation energy from raw total energies: -0.30 eV per atom.

Lattice parameters (Å, degrees): 3.821 3.821 10.156 90.00 90.00 90.00
Space group P4/mmm (No. 123)
Asymmetric unit:
Ba 0.000 0.000 0.236
Zr 0.500 0.500 0.500
Br 0.500 0.500 0.000